This record from Alexandria describes a geometry-optimized LiCu4P3O12 structure. The functional is GGA-PBEsol.

Unit cell a=5.9434 b=14.1943 c=10.0631 alpha=90.00 beta=90.00 gamma=90.00
Closest atoms and distances in Å follow each position.
Space group Pnma (No. 62)
One atom of each set of equivalent atoms:
Li 0.0644 0.2500 0.2301 x4  5 O 1.93-2.12
Cu 0.0529 0.6337 0.3480 x8  4 O 1.87-1.95
Cu 0.1446 0.5865 0.9411 x8  2 O 1.91
P 0.0200 0.2500 0.9021 x4  4 O 1.52-1.60
P 0.1339 0.5727 0.6340 x8  4 O 1.53-1.59
O 0.0343 0.0127 0.7049 x8  1 P 1.53
O 0.0421 0.7500 0.9511 x4  1 P 1.52
O 0.0437 0.1141 0.4689 x8  1 P 1.59
O 0.0774 0.6593 0.1610 x8  1 P 1.55
O 0.1623 0.0475 0.0434 x8  1 P 1.56
O 0.1881 0.6469 0.7398 x8  1 P 1.53
O 0.2130 0.7500 0.3861 x4  1 P 1.60

Computed properties:
Formation energy (no corrections) = -1.55 eV/atom
Offset from the most stable computed form = 0.00 kcal/mol of atoms